(1)
The following is a PBE-GGA calculation of a geometry-optimized RbHf2I structure, from Alexandria via LeMat-Bulk.

POSCAR file:
```
RbHf2I
1.0
0.000 3.797 3.797
3.797 0.000 3.797
3.797 3.797 0.000
Rb Hf I
1 2 1
Direct
0.000 0.000 0.000
0.250 0.250 0.250
0.750 0.750 0.750
0.500 0.500 0.500
```

Summary:
- space group = Fm-3m, No. 225
- ΔE_f (raw) (eV/atom) = 1.32
- calculated volume (A^3/atom) = 27.4

***

(2)
The following is a PBE-GGA calculation of a geometry-optimized GdYCuOs structure, from Alexandria via LeMat-Bulk.

POSCAR file:
```
GdYCuOs
1.0
0.000 3.453 3.453
3.453 0.000 3.453
3.453 3.453 0.000
Gd Y Cu Os
1 1 1 1
Direct
0.000 0.000 0.000
0.500 0.500 0.500
0.750 0.750 0.750
0.250 0.250 0.250
```

Summary:
- space group = F-43m, No. 216
- formation enthalpy at 0 K (eV per atom) = -0.213
- calculated volume (A^3/atom) = 20.6

***

(3)
The following is a PBE-GGA calculation of a geometry-optimized LaMgAu2 structure, from Alexandria via LeMat-Bulk.

POSCAR file:
```
LaMgAu2
1.0
-2.557 2.557 8.620
2.557 -2.557 8.620
2.557 2.557 -8.620
La Mg Au
2 2 4
Direct
0.000 0.000 0.000
0.750 0.250 0.500
0.250 0.750 0.500
0.500 0.500 0.000
0.224 0.625 0.099
0.375 0.474 0.599
0.526 0.125 0.901
0.875 0.776 0.401
```

Summary:
- space group = I-42d, No. 122
- formation enthalpy at 0 K (eV per atom) = -0.352
- calculated volume (A^3/atom) = 28.2